1 | The following is a PBE-GGA calculation of a geometry-optimized TlIn2Mo structure, from the Alexandria database.

```
8
Lattice="4.341 0.000 0.000 0.000 4.362 0.000 0.000 0.000 9.643" Properties=species:S:1:pos:R:3 pbc="T T T"
Tl 0.000 0.000 0.000
Tl 2.170 2.181 0.000
In 0.000 0.000 5.451
In 0.000 2.181 2.804
In 2.170 0.000 2.804
In 2.170 2.181 5.451
Mo 0.000 2.181 7.458
Mo 2.170 0.000 7.458
```

Values from the calculation:
space-group type	Cmm2, No. 35
volume	22.82	A^3/atom


2 | The following is a PBE-GGA calculation of a geometry-optimized TlIn2Mo structure, from the Alexandria database.

```
8
Lattice="2.968 0.000 0.000 0.000 4.825 0.000 0.000 0.000 14.071" Properties=species:S:1:pos:R:3 pbc="T T T"
Tl 0.000 0.000 0.000
Tl 1.484 2.413 7.036
In 0.000 0.000 8.987
In 0.000 2.413 11.462
In 1.484 0.000 4.426
In 1.484 2.413 1.952
Mo 0.000 2.413 4.411
Mo 1.484 0.000 11.447
```

Values from the calculation:
space-group type	Imm2, No. 44
volume	25.19	A^3/atom


3 | The following is a PBE-GGA calculation of a geometry-optimized TlIn2Mo structure, from the Alexandria database.

```
12
Lattice="3.146 0.000 0.000 -1.573 2.724 0.000 0.000 0.000 32.054" Properties=species:S:1:pos:R:3 pbc="T T T"
Tl 0.000 0.000 0.000
Tl 0.000 1.816 21.369
Tl 1.573 0.908 10.685
In 0.000 0.000 7.659
In 0.000 0.000 24.395
In 0.000 1.816 13.710
In 0.000 1.816 29.028
In 1.573 0.908 3.026
In 1.573 0.908 18.343
Mo 0.000 0.000 16.027
Mo 0.000 1.816 5.342
Mo 1.573 0.908 26.711
```

Values from the calculation:
space-group type	R-3m, No. 166
volume	22.89	A^3/atom


Which structure wins on stability? 2 wins.


1 | The following is a PBE-GGA calculation of a geometry-optimized TlIn2Mo structure, from the Alexandria database.

```
4
Lattice="5.385 0.000 0.000 0.000 3.196 0.000 -1.948 0.000 5.026" Properties=species:S:1:pos:R:3 pbc="T T T"
Tl 0.000 0.000 0.000
In 1.719 0.000 2.513
In 2.693 1.598 0.000
Mo -0.974 1.598 2.513
```

Values from the calculation:
space-group type	P2/m, No. 10
volume	21.62	A^3/atom


2 | The following is a PBE-GGA calculation of a geometry-optimized TlIn2Mo structure, from the Alexandria database.

```
8
Lattice="4.254 0.000 0.000 0.000 4.254 0.000 0.000 0.000 9.387" Properties=species:S:1:pos:R:3 pbc="T T T"
Tl 0.000 0.000 0.000
Tl 2.127 2.127 4.694
In 0.000 0.000 4.694
In 0.000 2.127 2.347
In 2.127 0.000 7.040
In 2.127 2.127 0.000
Mo 0.000 2.127 7.040
Mo 2.127 0.000 2.347
```

Values from the calculation:
space-group type	I-4m2, No. 119
volume	21.24	A^3/atom


3 | The following is a PBE-GGA calculation of a geometry-optimized TlIn2Mo structure, from the Alexandria database.

```
4
Lattice="3.107 0.000 0.000 0.000 5.294 0.000 0.000 0.000 5.354" Properties=species:S:1:pos:R:3 pbc="T T T"
Tl 0.000 0.000 0.000
In 0.000 2.647 2.677
In 1.553 0.000 2.677
Mo 1.553 2.647 0.000
```

Values from the calculation:
space-group type	Pmmm, No. 47
volume	22.01	A^3/atom


Which structure wins on stability? 2 wins.